(P)
This record from the Alexandria database describes a relaxed LiTaTeN2 crystal. The functional is PBE.

a b c (Å): 4.024 4.024 5.824
angles (deg): 90.00 90.00 90.00
Space group P4/mmm (No. 123)
Symmetry-distinct sites (fractional):
Li: 0.000 0.000 0.000
Ta: 0.500 0.500 0.500
Te: 0.500 0.500 0.000
N: 0.000 0.500 0.500

Its density of states at the Fermi level is 0.649 states/eV per atom. The calculation puts the spin magnetization at 0.75 μB/cell.

(Q)
This record from the Alexandria database describes a relaxed LiTaTeN2 crystal. The functional is PBE.

a b c (Å): 3.910 3.910 4.561
angles (deg): 90.00 90.00 90.00
Space group P4/mmm (No. 123)
Symmetry-distinct sites (fractional):
Li: 0.000 0.000 0.000
Ta: 0.500 0.500 0.500
Te: 0.000 0.000 0.500
N: 0.000 0.500 0.000

Its density of states at the Fermi level is 0.986 states/eV per atom. The calculation puts the spin magnetization at 0.00 μB/cell.

Least stable of them? (Q).

(P)
This record from the Alexandria database describes a relaxed Li2TcN2 crystal. The functional is PBE.

a b c (Å): 5.464 5.464 3.105
angles (deg): 90.00 90.00 90.00
Space group P4/mbm (No. 127)
Symmetry-distinct sites (fractional):
Li: 0.137 0.363 0.000
Tc: 0.000 0.000 0.500
N: 0.185 0.685 0.500

Its density of states at the Fermi level is 0.269 states/eV per atom. The calculation puts the spin magnetization at 0.00 μB/cell.

(Q)
This record from the Alexandria database describes a relaxed Li2TcN2 crystal. The functional is PBE.

a b c (Å): 8.843 4.980 5.190
angles (deg): 90.00 90.00 90.00
Space group Pbcn (No. 60)
Symmetry-distinct sites (fractional):
Li: 0.193 0.001 0.249
Tc: 0.000 0.500 0.250
N: 0.123 0.298 0.500

Its density of states at the Fermi level is 0.203 states/eV per atom. The calculation puts the spin magnetization at 0.00 μB/cell.

Least stable of them? (P).

(P)
This record from the Alexandria database describes a relaxed LiTcTe2N crystal. The functional is PBE.

a b c (Å): 5.054 5.054 3.428
angles (deg): 90.00 90.00 90.00
Space group P4/mmm (No. 123)
Symmetry-distinct sites (fractional):
Li: 0.000 0.000 0.000
Tc: 0.500 0.500 0.500
Te: 0.000 0.500 0.000
N: 0.000 0.000 0.500

Its density of states at the Fermi level is 0.895 states/eV per atom. The calculation puts the spin magnetization at 2.24 μB/cell.

(Q)
This record from the Alexandria database describes a relaxed LiTcTe2N crystal. The functional is PBE.

a b c (Å): 5.486 5.486 3.713
angles (deg): 90.00 90.00 90.00
Space group P4/mmm (No. 123)
Symmetry-distinct sites (fractional):
Li: 0.000 0.000 0.000
Tc: 0.500 0.500 0.500
Te: 0.000 0.500 0.500
N: 0.500 0.500 0.000

Its density of states at the Fermi level is 0.633 states/eV per atom. The calculation puts the spin magnetization at 0.46 μB/cell.

Least stable of them? (P).